<a>
# Nb6OsRh PBE relaxed
data_Nb6OsRh
_space_group_name_H-M_alt 'I 4/m m m'
_space_group_IT_number 139
_space_group_name_Hall '-I 4 2'
_cell_length_a 4.621
_cell_length_b 4.621
_cell_length_c 12.939
_cell_angle_alpha 90.00
_cell_angle_beta 90.00
_cell_angle_gamma 90.00
loop_
_atom_site_label
_atom_site_type_symbol
_atom_site_fract_x
_atom_site_fract_y
_atom_site_fract_z
Nb1 Nb 0.000 0.000 0.249
Nb2 Nb 0.000 0.500 0.123
Os1 Os 0.000 0.000 0.000
Rh1 Rh 0.000 0.000 0.500
# **M_tot**: 0.000 μB/f.u.
# **Crystal system**: tetragonal
# **V**: 17.268 A^3/atom

<b>
# Nb6OsRh PBE relaxed
data_Nb6OsRh
_space_group_name_H-M_alt 'P m -3'
_space_group_IT_number 200
_space_group_name_Hall '-P 2 2 3'
_cell_length_a 5.179
_cell_length_b 5.179
_cell_length_c 5.179
_cell_angle_alpha 90.00
_cell_angle_beta 90.00
_cell_angle_gamma 90.00
loop_
_atom_site_label
_atom_site_type_symbol
_atom_site_fract_x
_atom_site_fract_y
_atom_site_fract_z
Nb1 Nb 0.000 0.252 0.500
Os1 Os 0.500 0.500 0.500
Rh1 Rh 0.000 0.000 0.000
# **M_tot**: 0.000 μB/f.u.
# **Crystal system**: cubic
# **V**: 17.368 A^3/atom

Energies relative to the most stable structure are <a> 0.072; <b> 0.000, reported in eV/atom.

<a>
# Nb2OsRh2 PBE relaxed
data_Nb2OsRh2
_space_group_name_H-M_alt 'C 1 2/m 1'
_space_group_IT_number 12
_space_group_name_Hall '-C 2y'
_cell_length_a 8.794
_cell_length_b 3.949
_cell_length_c 6.195
_cell_angle_alpha 90.00
_cell_angle_beta 132.71
_cell_angle_gamma 90.00
loop_
_atom_site_label
_atom_site_type_symbol
_atom_site_fract_x
_atom_site_fract_y
_atom_site_fract_z
Nb1 Nb 0.081 0.000 0.296
Os1 Os 0.000 0.500 0.500
Rh1 Rh 0.196 0.500 0.094
# **M_tot**: 0.000 μB/f.u.
# **Crystal system**: monoclinic
# **V**: 15.806 A^3/atom

<b>
# Nb2OsRh2 PBE relaxed
data_Nb2OsRh2
_space_group_name_H-M_alt 'P 4/m b m'
_space_group_IT_number 127
_space_group_name_Hall '-P 4 2ab'
_cell_length_a 7.168
_cell_length_b 7.168
_cell_length_c 3.157
_cell_angle_alpha 90.00
_cell_angle_beta 90.00
_cell_angle_gamma 90.00
loop_
_atom_site_label
_atom_site_type_symbol
_atom_site_fract_x
_atom_site_fract_y
_atom_site_fract_z
Nb1 Nb 0.176 0.324 0.000
Os1 Os 0.000 0.000 0.500
Rh1 Rh 0.128 0.628 0.500
# **M_tot**: 0.000 μB/f.u.
# **Crystal system**: tetragonal
# **V**: 16.220 A^3/atom

Energies relative to the most stable structure are <a> 0.000; <b> 0.198, reported in eV/atom.

<a>
# NbOsRu2 PBE relaxed
data_NbOsRu2
_space_group_name_H-M_alt 'I 4/m m m'
_space_group_IT_number 139
_space_group_name_Hall '-I 4 2'
_cell_length_a 3.915
_cell_length_b 3.915
_cell_length_c 7.847
_cell_angle_alpha 90.00
_cell_angle_beta 90.00
_cell_angle_gamma 90.00
loop_
_atom_site_label
_atom_site_type_symbol
_atom_site_fract_x
_atom_site_fract_y
_atom_site_fract_z
Nb1 Nb 0.000 0.000 0.000
Os1 Os 0.000 0.000 0.500
Ru1 Ru 0.000 0.500 0.250
# **M_tot**: 0.000 μB/f.u.
# **Crystal system**: tetragonal
# **V**: 15.034 A^3/atom

<b>
# NbOsRu2 PBE relaxed
data_NbOsRu2
_space_group_name_H-M_alt 'P 4/m m m'
_space_group_IT_number 123
_space_group_name_Hall '-P 4 2'
_cell_length_a 3.922
_cell_length_b 3.922
_cell_length_c 3.897
_cell_angle_alpha 90.00
_cell_angle_beta 90.00
_cell_angle_gamma 90.00
loop_
_atom_site_label
_atom_site_type_symbol
_atom_site_fract_x
_atom_site_fract_y
_atom_site_fract_z
Nb1 Nb 0.000 0.000 0.000
Os1 Os 0.500 0.500 0.000
Ru1 Ru 0.000 0.500 0.500
# **M_tot**: 0.000 μB/f.u.
# **Crystal system**: tetragonal
# **V**: 14.987 A^3/atom

Energies relative to the most stable structure are <a> 0.050; <b> 0.000, reported in eV/atom.